[1]
! Co2Mo4N (SCAN, PBEsol geometry); values from VASP
&SYSTEM
  ibrav = 0, nat = 28, ntyp = 3
/
ATOMIC_SPECIES
Co 58.93 Co.upf
Mo 95.94 Mo.upf
N 14.01 N.upf
CELL_PARAMETERS angstrom
0.000 5.554 5.554
5.554 0.000 5.554
5.554 5.554 0.000
ATOMIC_POSITIONS crystal
Co 0.120 0.793 0.793
Co 0.207 0.207 0.207
Co 0.207 0.207 0.880
Co 0.207 0.880 0.207
Co 0.793 0.120 0.793
Co 0.793 0.793 0.120
Co 0.793 0.793 0.793
Co 0.880 0.207 0.207
Mo 0.000 0.000 0.000
Mo 0.000 0.000 0.500
Mo 0.000 0.500 0.000
Mo 0.186 0.186 0.564
Mo 0.186 0.564 0.186
Mo 0.186 0.564 0.564
Mo 0.436 0.436 0.814
Mo 0.436 0.814 0.436
Mo 0.436 0.814 0.814
Mo 0.500 0.000 0.000
Mo 0.564 0.186 0.186
Mo 0.564 0.186 0.564
Mo 0.564 0.564 0.186
Mo 0.814 0.436 0.436
Mo 0.814 0.436 0.814
Mo 0.814 0.814 0.436
N 0.000 0.500 0.500
N 0.500 0.000 0.500
N 0.500 0.500 0.000
N 0.500 0.500 0.500
! density: 10.00 g/cm³
! symmetry: Fd-3m (227)
! E_tot: -26.31 eV per atom
! uncorrected formation energy: -0.11 eV/atom


[2]
! CoMoSe2N (SCAN, PBEsol geometry); values from VASP
&SYSTEM
  ibrav = 0, nat = 5, ntyp = 4
/
ATOMIC_SPECIES
Co 58.93 Co.upf
Mo 95.94 Mo.upf
Se 78.96 Se.upf
N 14.01 N.upf
CELL_PARAMETERS angstrom
4.790 0.000 0.000
0.000 4.790 0.000
0.000 0.000 3.316
ATOMIC_POSITIONS crystal
Co 0.000 0.000 0.000
Mo 0.500 0.500 0.500
Se 0.000 0.500 0.000
Se 0.500 0.000 0.000
N 0.000 0.000 0.500
! density: 7.13 g/cm³
! symmetry: P4/mmm (123)
! E_tot: -19.77 eV per atom
! uncorrected formation energy: 0.56 eV/atom


[3]
! NaCo2Mo (SCAN, PBEsol geometry); values from VASP
&SYSTEM
  ibrav = 0, nat = 4, ntyp = 3
/
ATOMIC_SPECIES
Na 22.99 Na.upf
Co 58.93 Co.upf
Mo 95.94 Mo.upf
CELL_PARAMETERS angstrom
0.000 2.955 2.955
2.955 0.000 2.955
2.955 2.955 0.000
ATOMIC_POSITIONS crystal
Na 0.000 0.000 0.000
Co 0.250 0.250 0.250
Co 0.750 0.750 0.750
Mo 0.500 0.500 0.500
! density: 7.62 g/cm³
! symmetry: Fm-3m (225)
! E_tot: -17.65 eV per atom
! energy relative to the elements: 3.10 eV/f.u.


[4]
! NbCo2Mo (SCAN, PBEsol geometry); values from VASP
&SYSTEM
  ibrav = 0, nat = 4, ntyp = 3
/
ATOMIC_SPECIES
Nb 92.91 Nb.upf
Co 58.93 Co.upf
Mo 95.94 Mo.upf
CELL_PARAMETERS angstrom
0.000 3.003 3.003
3.003 0.000 3.003
3.003 3.003 0.000
ATOMIC_POSITIONS crystal
Nb 0.000 0.000 0.000
Co 0.250 0.250 0.250
Co 0.750 0.750 0.750
Mo 0.500 0.500 0.500
! density: 9.41 g/cm³
! symmetry: Fm-3m (225)
! E_tot: -25.63 eV per atom
! energy relative to the elements: 0.11 eV/f.u.


[5]
! Nb2CoSnMo (SCAN, PBEsol geometry); values from VASP
&SYSTEM
  ibrav = 0, nat = 5, ntyp = 4
/
ATOMIC_SPECIES
Nb 92.91 Nb.upf
Co 58.93 Co.upf
Sn 118.71 Sn.upf
Mo 95.94 Mo.upf
CELL_PARAMETERS angstrom
4.942 0.000 0.000
0.000 4.942 0.000
0.000 0.000 4.807
ATOMIC_POSITIONS crystal
Nb 0.000 0.500 0.000
Nb 0.500 0.000 0.000
Co 0.000 0.000 0.500
Sn 0.500 0.500 0.000
Mo 0.500 0.500 0.500
! density: 6.50 g/cm³
! symmetry: P4/mmm (123)
! E_tot: -28.74 eV per atom
! energy relative to the elements: 10.66 eV/f.u.


[6]
! TaNbCoMo2 (SCAN, PBEsol geometry); values from VASP
&SYSTEM
  ibrav = 0, nat = 5, ntyp = 4
/
ATOMIC_SPECIES
Ta 180.95 Ta.upf
Nb 92.91 Nb.upf
Co 58.93 Co.upf
Mo 95.94 Mo.upf
CELL_PARAMETERS angstrom
4.658 0.000 0.000
0.000 4.658 0.000
0.000 0.000 4.805
ATOMIC_POSITIONS crystal
Ta 0.000 0.000 0.000
Nb 0.000 0.000 0.500
Co 0.500 0.500 0.500
Mo 0.000 0.500 0.000
Mo 0.500 0.000 0.000
! density: 8.36 g/cm³
! symmetry: P4/mmm (123)
! E_tot: -35.44 eV per atom
! energy relative to the elements: 9.59 eV/f.u.


[7]
! CoNiMo2 (SCAN, PBEsol geometry); values from VASP
&SYSTEM
  ibrav = 0, nat = 4, ntyp = 3
/
ATOMIC_SPECIES
Co 58.93 Co.upf
Ni 58.69 Ni.upf
Mo 95.94 Mo.upf
CELL_PARAMETERS angstrom
-1.847 1.847 3.694
1.847 -1.847 3.694
1.847 1.847 -3.694
ATOMIC_POSITIONS crystal
Co 0.000 0.000 0.000
Ni 0.500 0.500 0.000
Mo 0.250 0.750 0.500
Mo 0.750 0.250 0.500
! density: 10.20 g/cm³
! symmetry: I4/mmm (139)
! energy above the most stable polymorph in this dataset: 0.0 meV per atom
! E_tot: -25.75 eV per atom
! energy relative to the elements: 0.24 eV/f.u.


[8]
! CoNi3Mo (SCAN, PBEsol geometry); values from VASP
&SYSTEM
  ibrav = 0, nat = 5, ntyp = 3
/
ATOMIC_SPECIES
Co 58.93 Co.upf
Ni 58.69 Ni.upf
Mo 95.94 Mo.upf
CELL_PARAMETERS angstrom
4.129 0.000 0.000
0.000 4.129 0.000
0.000 0.000 4.129
ATOMIC_POSITIONS crystal
Co 0.000 0.000 0.000
Ni 0.000 0.000 0.500
Ni 0.000 0.500 0.000
Ni 0.500 0.000 0.000
Mo 0.500 0.500 0.500
! density: 7.80 g/cm³
! symmetry: Pm-3m (221)
! E_tot: -18.99 eV per atom
! energy relative to the elements: 5.78 eV/f.u.


[9]
! CoNiMo2 (SCAN, PBEsol geometry); values from VASP
&SYSTEM
  ibrav = 0, nat = 4, ntyp = 3
/
ATOMIC_SPECIES
Co 58.93 Co.upf
Ni 58.69 Ni.upf
Mo 95.94 Mo.upf
CELL_PARAMETERS angstrom
2.604 -3.691 0.000
2.604 3.691 0.000
0.000 0.000 2.617
ATOMIC_POSITIONS crystal
Co 0.000 0.000 0.000
Ni 0.500 0.500 0.000
Mo 0.000 0.500 0.500
Mo 0.500 0.000 0.500
! density: 10.21 g/cm³
! symmetry: Cmmm (65)
! energy above the most stable polymorph in this dataset: 28.1 meV per atom
! E_tot: -25.72 eV per atom
! energy relative to the elements: 0.35 eV/f.u.


[10]
! Co6NiMo (SCAN, PBEsol geometry); values from VASP
&SYSTEM
  ibrav = 0, nat = 32, ntyp = 3
/
ATOMIC_SPECIES
Co 58.93 Co.upf
Ni 58.69 Ni.upf
Mo 95.94 Mo.upf
CELL_PARAMETERS angstrom
3.495 -4.970 0.000
3.495 4.970 0.000
0.000 0.000 9.931
ATOMIC_POSITIONS crystal
Co 0.000 0.000 0.000
Co 0.000 0.000 0.500
Co 0.118 0.372 0.123
Co 0.118 0.372 0.877
Co 0.123 0.369 0.373
Co 0.123 0.369 0.627
Co 0.247 0.753 0.245
Co 0.247 0.753 0.755
Co 0.369 0.123 0.373
Co 0.369 0.123 0.627
Co 0.372 0.118 0.123
Co 0.372 0.118 0.877
Co 0.500 0.500 0.000
Co 0.500 0.500 0.500
Co 0.628 0.882 0.123
Co 0.628 0.882 0.877
Co 0.631 0.877 0.373
Co 0.631 0.877 0.627
Co 0.753 0.247 0.245
Co 0.753 0.247 0.755
Co 0.877 0.631 0.373
Co 0.877 0.631 0.627
Co 0.882 0.628 0.123
Co 0.882 0.628 0.877
Ni 0.000 0.000 0.246
Ni 0.000 0.000 0.754
Ni 0.254 0.746 0.000
Ni 0.746 0.254 0.000
Mo 0.256 0.744 0.500
Mo 0.500 0.500 0.251
Mo 0.500 0.500 0.749
Mo 0.744 0.256 0.500
! density: 9.78 g/cm³
! symmetry: Cmmm (65)
! E_tot: -19.20 eV per atom
! energy relative to the elements: 1.29 eV/f.u.


[11]
! CoNiMo2 (SCAN, PBEsol geometry); values from VASP
&SYSTEM
  ibrav = 0, nat = 4, ntyp = 3
/
ATOMIC_SPECIES
Co 58.93 Co.upf
Ni 58.69 Ni.upf
Mo 95.94 Mo.upf
CELL_PARAMETERS angstrom
2.612 0.000 0.000
0.000 3.692 0.000
0.000 0.000 5.214
ATOMIC_POSITIONS crystal
Co 0.000 0.000 0.000
Ni 0.000 0.000 0.500
Mo 0.500 0.500 0.246
Mo 0.500 0.500 0.754
! density: 10.22 g/cm³
! symmetry: Pmmm (47)
! energy above the most stable polymorph in this dataset: 42.7 meV per atom
! E_tot: -25.71 eV per atom
! energy relative to the elements: 0.41 eV/f.u.


[12]
! CoNiMo2 (SCAN, PBEsol geometry); values from VASP
&SYSTEM
  ibrav = 0, nat = 4, ntyp = 3
/
ATOMIC_SPECIES
Co 58.93 Co.upf
Ni 58.69 Ni.upf
Mo 95.94 Mo.upf
CELL_PARAMETERS angstrom
3.694 0.000 0.000
0.000 3.694 0.000
0.000 0.000 3.689
ATOMIC_POSITIONS crystal
Co 0.000 0.000 0.000
Ni 0.500 0.500 0.000
Mo 0.000 0.500 0.500
Mo 0.500 0.000 0.500
! density: 10.21 g/cm³
! symmetry: P4/mmm (123)
! energy above the most stable polymorph in this dataset: 11.9 meV per atom
! E_tot: -25.74 eV per atom
! energy relative to the elements: 0.29 eV/f.u.


[13]
! CoNiMo (SCAN, PBEsol geometry); values from VASP
&SYSTEM
  ibrav = 0, nat = 3, ntyp = 3
/
ATOMIC_SPECIES
Co 58.93 Co.upf
Ni 58.69 Ni.upf
Mo 95.94 Mo.upf
CELL_PARAMETERS angstrom
-1.287 1.794 3.815
1.287 -1.794 3.815
1.287 1.794 -3.815
ATOMIC_POSITIONS crystal
Co 0.000 0.000 0.000
Ni 0.660 0.660 0.000
Mo 0.331 0.331 0.000
! density: 10.07 g/cm³
! symmetry: Imm2 (44)
! E_tot: -22.68 eV per atom
! energy relative to the elements: 0.33 eV/f.u.